Run A
First-principles (PBE) data for Ta2BeTe after structural relaxation, as listed in the Alexandria database.

Cell lengths 6.4846, 6.4846, 6.4846 Å; angles 90.00, 90.00, 90.00 degrees
Space group Fm-3m (No. 225)
One atom of each set of equivalent atoms:
1 Ta 0.2500 0.2500 0.2500
2 Be 0.0000 0.0000 0.0000
3 Te 0.0000 0.0000 0.5000

Properties
crystal system: cubic

***

Run B
First-principles (PBE) data for Ta2BeTe after structural relaxation, as listed in the Alexandria database.

Cell lengths 3.2102, 3.2102, 6.6606 Å; angles 90.00, 90.00, 90.00 degrees
Space group P4/mmm (No. 123)
One atom of each set of equivalent atoms:
1 Ta 0.0000 0.0000 0.2117
2 Be 0.5000 0.5000 0.0000
3 Te 0.5000 0.5000 0.5000

Properties
crystal system: tetragonal

***

Stability check: which of them is most stable? run B.

***

Run A
First-principles (PBE) data for Ta2BeTe after structural relaxation, as listed in the Alexandria database.

Cell lengths 9.7441, 3.1771, 4.6609 Å; angles 90.00, 105.75, 90.00 degrees
Space group Cm (No. 8)
One atom of each set of equivalent atoms:
1 Ta 0.0000 0.0000 0.0000
2 Ta 0.2032 0.0000 0.6341
3 Be 0.4745 0.0000 0.5093
4 Te 0.2498 0.5000 0.1712

Properties
crystal system: monoclinic

***

Run B
First-principles (PBE) data for Ta2BeTe after structural relaxation, as listed in the Alexandria database.

Cell lengths 3.5782, 3.5782, 19.4297 Å; angles 90.00, 90.00, 120.00 degrees
Space group R-3m (No. 166, hexagonal axes)
One atom of each set of equivalent atoms:
1 Ta 0.0000 0.0000 0.2259
2 Be 0.0000 0.0000 0.5000
3 Te 0.0000 0.0000 0.0000

Properties
crystal system: trigonal

***

Stability check: which of them is most stable? run B.

***

Run A
First-principles (PBE) data for TaTiBe2 after structural relaxation, as listed in the Alexandria database.

Cell lengths 3.8981, 3.8981, 3.4366 Å; angles 90.00, 90.00, 90.00 degrees
Space group P4/mmm (No. 123)
One atom of each set of equivalent atoms:
1 Ta 0.0000 0.0000 0.0000
2 Ti 0.5000 0.5000 0.0000
3 Be 0.0000 0.5000 0.5000

Properties
crystal system: tetragonal

***

Run B
First-principles (PBE) data for TaTiBe2 after structural relaxation, as listed in the Alexandria database.

Cell lengths 5.9237, 5.9237, 5.9237 Å; angles 90.00, 90.00, 90.00 degrees
Space group Fm-3m (No. 225)
One atom of each set of equivalent atoms:
1 Ta 0.0000 0.0000 0.0000
2 Ti 0.0000 0.0000 0.5000
3 Be 0.2500 0.2500 0.2500

Properties
crystal system: cubic

***

Run C
First-principles (PBE) data for TaTiBe2 after structural relaxation, as listed in the Alexandria database.

Cell lengths 6.6487, 6.6487, 4.9571 Å; angles 90.00, 90.00, 90.00 degrees
Space group I-42d (No. 122)
One atom of each set of equivalent atoms:
1 Ta 0.0000 0.0000 0.0000
2 Ti 0.0000 0.0000 0.5000
3 Be 0.2451 0.7500 0.6250

Properties
crystal system: tetragonal

***

Stability check: which of them is most stable? run A.

***

Run A
First-principles (PBE) data for TaTiBe2 after structural relaxation, as listed in the Alexandria database.

Cell lengths 3.0515, 3.0515, 20.7912 Å; angles 90.00, 90.00, 120.00 degrees
Space group R-3m (No. 166, hexagonal axes)
One atom of each set of equivalent atoms:
1 Ta 0.0000 0.0000 0.0000
2 Ti 0.0000 0.0000 0.5000
3 Be 0.0000 0.0000 0.2484

Properties
crystal system: trigonal

***

Run B
First-principles (PBE) data for TaTiBe2 after structural relaxation, as listed in the Alexandria database.

Cell lengths 3.0346, 3.0346, 5.6406 Å; angles 90.00, 90.00, 90.00 degrees
Space group P4/mmm (No. 123)
One atom of each set of equivalent atoms:
1 Ta 0.0000 0.0000 0.0000
2 Ti 0.0000 0.0000 0.5000
3 Be 0.5000 0.5000 0.2628

Properties
crystal system: tetragonal

***

Stability check: which of them is most stable? run B.

***

Run A
First-principles (PBE) data for TaTiBe3 after structural relaxation, as listed in the Alexandria database.

Cell lengths 4.3259, 4.3259, 4.3259 Å; angles 90.00, 90.00, 90.00 degrees
Space group Pm-3m (No. 221)
One atom of each set of equivalent atoms:
1 Ta 0.0000 0.0000 0.0000
2 Ti 0.5000 0.5000 0.5000
3 Be 0.0000 0.0000 0.5000

Properties
crystal system: cubic

***

Run B
First-principles (PBE) data for TaTiBe3 after structural relaxation, as listed in the Alexandria database.

Cell lengths 2.9926, 22.2122, 3.6420 Å; angles 90.00, 90.00, 90.00 degrees
Space group Cmcm (No. 63)
One atom of each set of equivalent atoms:
1 Ta 0.0000 0.0714 0.2500
2 Ti 0.0000 0.2104 0.7500
3 Be 0.0000 0.3316 0.7500
4 Be 0.0000 0.3815 0.2500
5 Be 0.0000 0.4764 0.2500

Properties
crystal system: orthorhombic

***

Stability check: which of them is most stable? run B.

***

Run A
First-principles (PBE) data for Ta2TiBe after structural relaxation, as listed in the Alexandria database.

Cell lengths 3.2206, 3.2206, 5.9841 Å; angles 90.00, 90.00, 90.00 degrees
Space group P4/mmm (No. 123)
One atom of each set of equivalent atoms:
1 Ta 0.0000 0.0000 0.2283
2 Ti 0.5000 0.5000 0.5000
3 Be 0.5000 0.5000 0.0000

Properties
crystal system: tetragonal

***

Run B
First-principles (PBE) data for Ta2TiBe after structural relaxation, as listed in the Alexandria database.

Cell lengths 3.9776, 3.9776, 3.9978 Å; angles 90.00, 90.00, 90.00 degrees
Space group P4/mmm (No. 123)
One atom of each set of equivalent atoms:
1 Ta 0.0000 0.5000 0.0000
2 Ti 0.0000 0.0000 0.5000
3 Be 0.5000 0.5000 0.5000

Properties
crystal system: tetragonal

***

Run C
First-principles (PBE) data for Ta2TiBe after structural relaxation, as listed in the Alexandria database.

Cell lengths 2.9515, 2.9515, 26.0814 Å; angles 90.00, 90.00, 120.00 degrees
Space group R-3m (No. 166, hexagonal axes)
One atom of each set of equivalent atoms:
1 Ta 0.0000 0.0000 0.2422
2 Ti 0.0000 0.0000 0.0000
3 Be 0.0000 0.0000 0.5000

Properties
crystal system: trigonal

***

Run D
First-principles (PBE) data for Ta2TiBe after structural relaxation, as listed in the Alexandria database.

Cell lengths 7.1088, 7.1088, 5.1939 Å; angles 90.00, 90.00, 90.00 degrees
Space group I-42d (No. 122)
One atom of each set of equivalent atoms:
1 Ta 0.2182 0.7500 0.1250
2 Ti 0.0000 0.0000 0.5000
3 Be 0.0000 0.0000 0.0000

Properties
crystal system: tetragonal

***

Stability check: which of them is most stable? run B.

***

Run A
First-principles (PBE) data for Ta3TiBe after structural relaxation, as listed in the Alexandria database.

Cell lengths 4.6581, 4.6581, 4.6581 Å; angles 90.00, 90.00, 90.00 degrees
Space group Pm-3m (No. 221)
One atom of each set of equivalent atoms:
1 Ta 0.0000 0.0000 0.5000
2 Ti 0.0000 0.0000 0.0000
3 Be 0.5000 0.5000 0.5000

Properties
crystal system: cubic

***

Run B
First-principles (PBE) data for Ta3TiBe after structural relaxation, as listed in the Alexandria database.

Cell lengths 4.4388, 4.4388, 4.4388 Å; angles 90.00, 90.00, 90.00 degrees
Space group Pm-3m (No. 221)
One atom of each set of equivalent atoms:
1 Ta 0.0000 0.0000 0.5000
2 Ti 0.5000 0.5000 0.5000
3 Be 0.0000 0.0000 0.0000

Properties
crystal system: cubic

***

Stability check: which of them is most stable? run B.

***

Run A
First-principles (PBE) data for TaBeTl after structural relaxation, as listed in the Alexandria database.

Cell lengths 2.9397, 4.8537, 9.3518 Å; angles 102.54, 90.61, 107.51 degrees
Space group P1 (No. 1)
One atom of each set of equivalent atoms:
1 Ta 0.0000 0.0000 0.0000
2 Ta 0.2449 0.4975 0.8703
3 Be 0.4119 0.8129 0.1783
4 Be 0.7404 0.4742 0.0927
5 Tl 0.1834 0.3554 0.3597
6 Tl 0.4680 0.9507 0.6652

Properties
crystal system: triclinic

***

Run B
First-principles (PBE) data for TaBeTl after structural relaxation, as listed in the Alexandria database.

Cell lengths 8.5516, 3.5579, 7.7950 Å; angles 90.00, 109.43, 90.00 degrees
Space group Cm (No. 8)
One atom of each set of equivalent atoms:
1 Ta 0.0000 0.0000 0.0000
2 Ta 0.0166 0.5000 0.7454
3 Be 0.2571 0.0000 0.8621
4 Be 0.2962 0.5000 0.7086
5 Tl 0.1386 0.0000 0.4738
6 Tl 0.3530 0.0000 0.2375

Properties
crystal system: monoclinic

***

Stability check: which of them is most stable? run B.